Here is crystalline Ce2Ga3Cu at its relaxed geometry from Alexandria via LeMat-Bulk. Energies are from PBE.

abc: 4.4542 4.4542 7.3935
angles: 90.00 90.00 120.00
Space group P3m1 (No. 156)
Symmetry-distinct sites (fractional):
Ce1 0.0000 0.0000 0.0000
Ce2 0.0000 0.0000 0.4739
Ga1 0.3333 0.6667 0.2296
Ga2 0.3333 0.6667 0.7659
Ga3 0.6667 0.3333 0.7015
Cu1 0.6667 0.3333 0.2611

Calculated values
The energy above the most stable polymorph in this dataset comes out at 2.5 meV/atom. The formation energy is -0.486 eV per atom. As for the density of states at the Fermi level: 9.4 states/eV/cell. Its total energy is -4.660 eV per atom.